(1)
A plane-wave DFT calculation with PBE-GGA was carried out for crystalline K3Sb5Se12 at its relaxed geometry.

a = 15.0473 Å, b = 15.0473 Å, c = 15.0473 Å
α = 109.47°, β = 109.47°, γ = 109.47°
Sites, in units of the cell vectors:
Se: 0.4073 0.0252 0.3172
Se: 0.0901 0.1828 0.2080
Se: 0.5901 0.8821 0.4073
Se: 0.3821 0.4073 0.0901
Se: 0.5252 0.2080 0.1179
Se: 0.6828 0.4748 0.5927
Se: 0.5901 0.7080 0.6828
Se: 0.7920 0.3172 0.9099
Se: 0.0252 0.6179 0.7080
Se: 0.3172 0.5252 0.4073
Se: 0.0252 0.4073 0.8172
Se: 0.1828 0.0927 0.9748
Se: 0.9748 0.3821 0.2920
Se: 0.4099 0.2920 0.3172
Se: 0.0901 0.9073 0.3821
Se: 0.5927 0.6179 0.4099
Se: 0.4099 0.1179 0.5927
Se: 0.4748 0.6828 0.0927
Se: 0.1179 0.4099 0.0927
Se: 0.0927 0.9099 0.1179
Se: 0.7920 0.4748 0.3821
Se: 0.5927 0.9748 0.6828
Se: 0.9748 0.5927 0.1828
Se: 0.7080 0.5901 0.1828
Se: 0.6179 0.5927 0.9099
Se: 0.3172 0.7920 0.4099
Se: 0.3821 0.9748 0.7920
Se: 0.5252 0.3172 0.9073
Se: 0.8821 0.2920 0.4748
Se: 0.9099 0.8172 0.7920
Se: 0.0927 0.1828 0.4748
Se: 0.6179 0.0252 0.2080
Se: 0.9099 0.0927 0.6179
Se: 0.4748 0.7920 0.8821
Se: 0.1179 0.7080 0.5252
Se: 0.2080 0.6828 0.0901
Se: 0.8172 0.9099 0.2920
Se: 0.2080 0.5252 0.6179
Se: 0.8172 0.9073 0.0252
Se: 0.6828 0.2080 0.5901
Se: 0.2920 0.8821 0.9748
Se: 0.1828 0.0901 0.7080
Se: 0.9073 0.8172 0.5252
Se: 0.7080 0.1179 0.0252
Se: 0.8821 0.5901 0.9073
Se: 0.4073 0.3821 0.5901
Se: 0.2920 0.4099 0.8172
Se: 0.9073 0.0901 0.8821
Sb: 0.0000 0.5000 0.5000
Sb: 0.3750 0.1250 0.7500
Sb: 0.6250 0.7500 0.8750
Sb: 0.0000 0.5000 0.0000
Sb: 0.7500 0.1250 0.8750
Sb: 0.0000 0.0000 0.0000
Sb: 0.2500 0.3750 0.6250
Sb: 0.5000 0.5000 0.5000
Sb: 0.7500 0.6250 0.3750
Sb: 0.6250 0.8750 0.2500
Sb: 0.8750 0.2500 0.6250
Sb: 0.8750 0.6250 0.7500
Sb: 0.3750 0.2500 0.1250
Sb: 0.5000 0.5000 0.0000
Sb: 0.0000 0.0000 0.5000
Sb: 0.5000 0.0000 0.5000
Sb: 0.2500 0.8750 0.1250
Sb: 0.1250 0.7500 0.3750
Sb: 0.5000 0.0000 0.0000
Sb: 0.1250 0.3750 0.2500
K: 0.7500 0.3750 0.1250
K: 0.2500 0.6250 0.8750
K: 0.7500 0.8750 0.6250
K: 0.6250 0.2500 0.3750
K: 0.3750 0.7500 0.6250
K: 0.2500 0.1250 0.3750
K: 0.3750 0.6250 0.2500
K: 0.8750 0.7500 0.1250
K: 0.1250 0.8750 0.7500
K: 0.1250 0.2500 0.8750
K: 0.6250 0.3750 0.7500
K: 0.8750 0.1250 0.2500

Properties
Raw formation energy (eV/atom): -0.3714
Total magnetic moment (μB/f.u.): 0.00
Raw total energy (eV/cell): -292.59
Space-group type: Ia-3d

(2)
A plane-wave DFT calculation with PBE-GGA was carried out for crystalline KAgTe2 at its relaxed geometry.

a = 8.5018 Å, b = 8.5018 Å, c = 8.5018 Å
α = 29.44°, β = 29.44°, γ = 29.44°
Sites, in units of the cell vectors:
Ag: 0.2500 0.2500 0.2500
Te: 0.5221 0.5221 0.5221
Te: 0.9779 0.9779 0.9779
K: 0.7500 0.7500 0.7500

Properties
Raw formation energy (eV/atom): -0.2423
Total magnetic moment (μB/f.u.): 0.00
Raw total energy (eV/cell): -11.20
Space-group type: R-3m